# Pr6Sm3Dy2Sc (GGA-PBE, relaxed)
data_Pr6Sm3Dy2Sc
_chemical_formula_sum 'Pr12 Sm6 Dy4 Sc2'
_symmetry_space_group_name_H-M 'C 1 2/m 1'
_symmetry_Int_Tables_number 12
_cell_length_a 6.308
_cell_length_b 10.929
_cell_length_c 11.906
_cell_angle_alpha 90.00
_cell_angle_beta 100.15
_cell_angle_gamma 90.00
loop_
_symmetry_equiv_pos_as_xyz
'x,y,z'
'-x,-y,-z'
'-x,y,-z'
'x,-y,z'
'x+1/2,y+1/2,z'
'-x+1/2,-y+1/2,-z'
'-x+1/2,y+1/2,-z'
'x+1/2,-y+1/2,z'
loop_
_atom_site_label
_atom_site_fract_x
_atom_site_fract_y
_atom_site_fract_z
Pr1 0.246 0.165 0.245
Pr2 0.249 0.000 0.755
Sm1 0.000 0.167 0.500
Sm2 0.000 0.500 0.500
Dy1 0.000 0.333 0.000
Sc1 0.000 0.000 0.000
# magnetization	0.000	μB per atom
# DFT formation energy	0.026	eV per atom



# Cs2TiSbBr6 (GGA-PBE, relaxed)
data_Cs2TiSbBr6
_chemical_formula_sum 'Cs4 Ti2 Sb2 Br12'
_symmetry_space_group_name_H-M 'I 4/m m m'
_symmetry_Int_Tables_number 139
_symmetry_space_group_name_Hall '-I 4 2'
_cell_length_a 7.754
_cell_length_b 7.754
_cell_length_c 12.837
_cell_angle_alpha 90.00
_cell_angle_beta 90.00
_cell_angle_gamma 90.00
loop_
_atom_site_label
_atom_site_fract_x
_atom_site_fract_y
_atom_site_fract_z
Cs1 0.000 0.500 0.250
Ti1 0.000 0.000 0.000
Sb1 0.000 0.000 0.500
Br1 0.000 0.000 0.202
Br2 0.242 0.242 0.000
# magnetization	0.100	μB per atom
# electronic total energy	-3.488	eV per atom



# NiSn3Hg (GGA-PBE, relaxed)
data_NiSn3Hg
_chemical_formula_sum 'Ni1 Sn3 Hg1'
_symmetry_space_group_name_H-M 'P m -3 m'
_symmetry_Int_Tables_number 221
_symmetry_space_group_name_Hall '-P 4 2 3'
_cell_length_a 5.036
_cell_length_b 5.036
_cell_length_c 5.036
_cell_angle_alpha 90.00
_cell_angle_beta 90.00
_cell_angle_gamma 90.00
loop_
_atom_site_label
_atom_site_fract_x
_atom_site_fract_y
_atom_site_fract_z
Ni1 0.000 0.000 0.000
Sn1 0.000 0.000 0.500
Hg1 0.500 0.500 0.500
# magnetization	0.000	μB per atom
# DFT formation energy	0.058	eV per atom